(1)
DFT (PBE) results for an optimized crystal structure of PrAs2Pb.

Cell lengths 3.965, 5.023, 5.023 Å; angles 90.00, 90.00, 90.00 degrees
Element x y z (fractional)
As (0.000, 0.500, 0.000)
As (0.000, 0.000, 0.500)
Pb (0.500, 0.500, 0.500)
Pr (0.500, 0.000, 0.000)

## Properties
ΔH_f (0 K): -565 meV per atom
energy above the most stable polymorph in this dataset: 0 meV per atom
SG: No. 123
N(E_F): 0.583 states/eV per atom

(2)
DFT (PBE) results for an optimized crystal structure of Pr2AsPb.

Cell lengths 4.246, 4.246, 8.376 Å; angles 75.32, 75.32, 60.00 degrees
Element x y z (fractional)
Pr (0.261, 0.261, 0.216)
Pr (0.739, 0.739, 0.784)
Pb (0.500, 0.500, 0.500)
As (0.000, 0.000, 0.000)

## Properties
ΔH_f (0 K): -991 meV per atom
energy above the most stable polymorph in this dataset: 28 meV per atom
SG: No. 166
N(E_F): 0.389 states/eV per atom

(3)
DFT (PBE) results for an optimized crystal structure of PrAs2Pb.

Cell lengths 4.621, 4.621, 8.521 Å; angles 74.27, 74.27, 60.00 degrees
Element x y z (fractional)
Pb (0.000, 0.000, 0.000)
As (0.890, 0.890, 0.329)
As (0.110, 0.110, 0.671)
Pr (0.500, 0.500, 0.500)

## Properties
ΔH_f (0 K): -189 meV per atom
energy above the most stable polymorph in this dataset: 376 meV per atom
SG: No. 166
N(E_F): 0.865 states/eV per atom

(4)
DFT (PBE) results for an optimized crystal structure of Pr2AsPb.

Cell lengths 4.146, 4.146, 8.818 Å; angles 76.40, 76.40, 60.00 degrees
Element x y z (fractional)
Pr (0.265, 0.265, 0.205)
Pr (0.068, 0.068, 0.795)
As (0.667, 0.667, 0.998)
Pb (0.499, 0.499, 0.502)

## Properties
ΔH_f (0 K): -936 meV per atom
energy above the most stable polymorph in this dataset: 82 meV per atom
SG: No. 160
N(E_F): 0.602 states/eV per atom